SiMo2Ru: relaxed, GGA-PBEsol.

abc: 3.097 4.129 5.037
angles: 114.20 107.91 90.00
Positions (direct):
Mo1 0.256 0.256 0.512
Mo2 0.744 0.744 0.488
Ru1 0.500 0.000 0.000
Si1 0.000 0.500 0.000

---

Si2MoRu: relaxed, GGA-PBEsol.

abc: 2.941 2.941 6.010
angles: 90.00 90.00 90.00
Positions (direct):
Mo1 0.500 0.500 0.000
Si1 0.000 0.000 0.741
Si2 0.000 0.000 0.259
Ru1 0.500 0.500 0.500

---

Si2MoRu: relaxed, GGA-PBEsol.

abc: 2.933 3.772 5.558
angles: 109.83 105.30 90.00
Positions (direct):
Ru1 0.278 0.778 0.556
Mo1 0.536 0.536 0.072
Si1 0.714 0.214 0.429
Si2 0.971 0.971 0.942

---

SiMo2Ru: relaxed, GGA-PBEsol.

abc: 2.764 4.217 4.890
angles: 90.00 98.28 90.00
Positions (direct):
Si1 0.389 0.500 0.756
Mo1 0.967 0.000 0.980
Ru1 0.382 0.000 0.500
Mo2 0.762 0.500 0.263

---

Computed values of total magnetization (unit: μB per cell) for the preceding records, in sequence: 0.0; 0.0; 0.0; 0.0.
Computed values of formation energy (no corrections) (unit: eV/atom) for the preceding records, in sequence: -0.295; -0.441; -0.386; -0.175.
Computed values of electronic total energy (unit: eV per cell) for the preceding records, in sequence: -40.6; -35.2; -35.0; -40.2.